Compound: CsCaPt2S
Source: Alexandria via LeMat-Bulk
Functional: GGA-PBE
Structure: relaxed

Values from the calculation:
Energy relative to the elements, uncorrected ... 0.142 eV/atom
E ... -0.2698 Ry per atom
V ... 130.58 Å³ per cell

Cell lengths 4.7310, 5.8342, 4.7310 Å; angles 90.00, 90.00, 90.00 degrees
With the nearest neighbours (Å) after each atom.
Fractional positions:
1 Cs 0.0000 0.5000 0.0000  2 S 2.92
2 Ca 0.5000 0.5000 0.5000  4 Cs 3.35
3 S 0.0000 0.0000 0.0000  4 Pt 2.37
4 Pt 0.0000 0.0000 0.5000  2 S 2.37
5 Pt 0.5000 0.0000 0.0000  2 S 2.37

=====

Compound: CsCa2TcPt
Source: Alexandria via LeMat-Bulk
Functional: GGA-PBE
Structure: relaxed

Values from the calculation:
E ... -0.2572 Ry per atom
V ... 183.79 Å³ per cell
Energy relative to the elements ... 0.753 eV per atom

Cell lengths 5.4614, 6.1620, 5.4614 Å; angles 90.00, 90.00, 90.00 degrees
With the nearest neighbours (Å) after each atom.
Fractional positions:
1 Cs 0.0000 0.5000 0.0000  2 Pt 3.08
2 Ca 0.0000 0.0000 0.5000  2 Pt 2.73
3 Ca 0.5000 0.0000 0.0000  2 Pt 2.73
4 Tc 0.5000 0.5000 0.5000  4 Cs 3.86, 8 Ca 4.12
5 Pt 0.0000 0.0000 0.0000  4 Ca 2.73

=====

Compound: CsCaTl2Pt
Source: Alexandria via LeMat-Bulk
Functional: GGA-PBE
Structure: relaxed

Values from the calculation:
E ... -0.2148 Ry per atom
V ... 171.43 Å³ per cell
Energy relative to the elements ... -0.197 eV per atom

Cell lengths 5.5302, 5.5302, 5.6053 Å; angles 90.00, 90.00, 90.00 degrees
With the nearest neighbours (Å) after each atom.
Fractional positions:
1 Cs 0.5000 0.5000 0.5000  4 Ca 3.91, 8 Tl 3.94
2 Tl 0.0000 0.5000 0.0000  2 Pt 2.77
3 Tl 0.5000 0.0000 0.0000  2 Pt 2.77
4 Ca 0.0000 0.0000 0.5000  2 Pt 2.80
5 Pt 0.0000 0.0000 0.0000  4 Tl 2.77, 2 Ca 2.80

=====

Compound: CsCaTl2Pt
Source: Alexandria via LeMat-Bulk
Functional: GGA-PBE
Structure: relaxed

Values from the calculation:
E ... -0.1409 Ry per atom
V ... 216.52 Å³ per cell
Energy relative to the elements ... 0.808 eV per atom

Cell lengths 6.2933, 5.4670, 6.2933 Å; angles 90.00, 90.00, 90.00 degrees
With the nearest neighbours (Å) after each atom.
Fractional positions:
1 Cs 0.0000 0.0000 0.0000  2 Pt 2.73
2 Tl 0.0000 0.0000 0.5000  2 Cs 3.15
3 Tl 0.5000 0.0000 0.0000  2 Cs 3.15
4 Ca 0.5000 0.5000 0.5000  8 Tl 4.17, 4 Pt 4.45
5 Pt 0.0000 0.5000 0.0000  2 Cs 2.73

=====

no.,magnetization (μB/f.u.)
1,0.00
2,3.52
3,0.00
4,0.00